[1]
The following is a PBE-GGA calculation of an optimized crystal structure of IrRhS4, from the Alexandria database.

Its space group is P2_1/c, No. 14. For the excess energy over the best structure of this formula in the dataset, the calculation gives 0 meV/atom. The value obtained for the energy relative to the elements, uncorrected is -318 meV per atom.

a b c (Å): 5.755 5.752 5.739
angles (deg): 90.00 90.03 90.00
Element x y z (fractional)
Rh  0.000  0.500  0.500
S  0.879  0.123  0.374
S  0.621  0.623  0.626
S  0.379  0.377  0.374
S  0.869  0.630  0.127
Ir  0.000  0.000  0.000
S  0.369  0.870  0.127
S  0.631  0.130  0.873
Ir  0.500  0.500  0.000
S  0.121  0.877  0.626
Rh  0.500  0.000  0.500
S  0.131  0.370  0.873

***

[2]
The following is a PBE-GGA calculation of an optimized crystal structure of GaFeNi, from the Alexandria database.

Its space group is Amm2, No. 38. For the calculated formation energy, the calculation gives -170 meV/atom.

a b c (Å): 4.276 7.689 4.425
angles (deg): 90.00 90.00 90.00
Last column: magnetic moment on the atom in μB.
Element x y z (fractional)
Ni  0.000  0.168  0.722  0.24
Ga  0.500  0.500  0.350  -0.09
Ni  0.000  0.832  0.722  0.24
Ga  0.000  0.500  0.737  -0.05
Ga  0.500  0.000  0.850  -0.09
Fe  0.500  0.330  0.861  2.25
Fe  0.500  0.830  0.361  2.25
Ni  0.000  0.668  0.222  0.24
Ga  0.000  0.000  0.237  -0.05
Fe  0.500  0.170  0.361  2.25
Ni  0.000  0.332  0.222  0.24
Fe  0.500  0.670  0.861  2.25

***

[3]
The following is a PBE-GGA calculation of an optimized crystal structure of NpCd2Br8, from the Alexandria database.

Its space group is C2/m, No. 12. The value obtained for the energy relative to the elements, uncorrected is -952 meV per atom.

a b c (Å): 6.846 9.530 9.530
angles (deg): 47.85 94.25 94.25
Last column: magnetic moment on the atom in μB.
Element x y z (fractional)
Cd  0.437  0.158  0.158  0.00
Br  0.638  0.703  0.703  -0.01
Br  0.261  0.814  0.311  -0.04
Br  0.175  0.860  0.860  -0.04
Br  0.739  0.689  0.186  -0.04
Br  0.739  0.186  0.689  -0.04
Cd  0.563  0.842  0.842  0.00
Br  0.261  0.311  0.814  -0.04
Np  0.000  0.000  0.000  3.25
Br  0.825  0.140  0.140  -0.04
Br  0.362  0.297  0.297  -0.01

***

[4]
The following is a PBE-GGA calculation of an optimized crystal structure of Pm2Sm5Y6, from the Alexandria database.

Its space group is Pbam, No. 55. For the calculated formation energy, the calculation gives 95 meV/atom.

a b c (Å): 3.609 11.792 20.587
angles (deg): 90.00 90.00 90.00
Element x y z (fractional)
Sm  0.500  0.587  0.275
Pm  0.000  0.830  0.213
Y  0.000  0.059  0.080
Y  0.500  0.822  0.368
Pm  0.000  0.670  0.713
Y  0.000  0.580  0.132
Y  0.000  0.941  0.920
Y  0.500  0.678  0.868
Sm  0.500  0.299  0.450
Sm  0.500  0.000  0.500
Y  0.500  0.178  0.632
Y  0.000  0.420  0.868
Sm  0.500  0.087  0.225
Y  0.500  0.322  0.132
Sm  0.500  0.201  0.950
Sm  0.500  0.500  0.000
Sm  0.500  0.413  0.725
Sm  0.500  0.799  0.050
Y  0.000  0.441  0.580
Y  0.000  0.080  0.368
Sm  0.500  0.701  0.550
Y  0.000  0.559  0.420
Pm  0.000  0.170  0.787
Sm  0.500  0.913  0.775
Pm  0.000  0.330  0.287
Y  0.000  0.920  0.632

***

The total moment results, record by record, are as follows: 0.00; 2.38; 3.00; 0.00 μB per formula unit.